First-principles (PBE) data for a relaxed structure of TaIrAu, as listed in the Alexandria database.

Cell lengths 6.093, 6.093, 6.093 Å; angles 151.61, 151.61, 40.58 degrees
Element x y z (fractional)
Ta 0.000 0.000 0.000
Ir 0.357 0.357 0.000
Au 0.677 0.677 0.000

## Properties
magnetic moment	0.000	μB per formula unit
E_form	-0.561	eV/f.u.
density of states at the Fermi level	2.9	states/eV per cell
VASP energy	-8.18	eV per atom
space-group type	I4mm